[1]
Density functional theory data (PBE) for a geometry-optimized Cs2AgMoSe4 structure.

Unit cell a=14.7143 b=13.0635 c=8.0373 alpha=84.88 beta=62.16 gamma=32.96
Fractional positions:
1 Cs 0.0541 0.0541 0.6959
2 Cs 0.3041 0.3041 0.9459
3 Cs 0.6959 0.6959 0.0541
4 Cs 0.9459 0.9459 0.3041
5 Ag 0.1250 0.1250 0.1250
6 Ag 0.8750 0.8750 0.8750
7 Mo 0.3750 0.3750 0.3750
8 Mo 0.6250 0.6250 0.6250
9 Se 0.0070 0.6317 0.5512
10 Se 0.3100 0.5512 0.6317
11 Se 0.3683 0.9930 0.6900
12 Se 0.4488 0.6900 0.9930
13 Se 0.5512 0.3100 0.0070
14 Se 0.6317 0.0070 0.3100
15 Se 0.6900 0.4488 0.3683
16 Se 0.9930 0.3683 0.4488

Summary:
The space group is Fddd (70). As for the spin magnetization: 1.0 μB/f.u. The total energy comes out at -0.322 Ry/atom.

[2]
Density functional theory data (PBE) for a geometry-optimized CsSrAg2Mo structure.

Unit cell a=6.0831 b=6.0831 c=6.2186 alpha=90.00 beta=90.00 gamma=90.00
Fractional positions:
1 Cs 0.0000 0.0000 0.0000
2 Sr 0.5000 0.5000 0.5000
3 Ag 0.0000 0.5000 0.0000
4 Ag 0.5000 0.0000 0.0000
5 Mo 0.0000 0.0000 0.5000

Summary:
The space group is P4/mmm (123). The formation energy is 153.5 kJ per mole of atoms. As for the spin magnetization: 5.3 μB/f.u. The total energy comes out at -0.163 Ry/atom.

[3]
Density functional theory data (PBE) for a geometry-optimized CsTa2AgMo structure.

Unit cell a=5.1418 b=5.1418 c=5.4027 alpha=90.00 beta=90.00 gamma=90.00
Fractional positions:
1 Cs 0.0000 0.0000 0.0000
2 Ta 0.0000 0.5000 0.5000
3 Ta 0.5000 0.0000 0.5000
4 Ag 0.5000 0.5000 0.5000
5 Mo 0.5000 0.5000 0.0000

Summary:
The space group is P4/mmm (123). The formation energy is 226.1 kJ per mole of atoms. As for the spin magnetization: 0.2 μB/f.u. The total energy comes out at -0.390 Ry/atom.

[4]
Density functional theory data (PBE) for a geometry-optimized Cs2AgN2 structure.

Unit cell a=8.9879 b=8.9879 c=4.0927 alpha=90.00 beta=90.00 gamma=90.00
Fractional positions:
1 Cs 0.2331 0.2669 0.0000
2 Cs 0.2669 0.7669 0.0000
3 Cs 0.7331 0.2331 0.0000
4 Cs 0.7669 0.7331 0.0000
5 Ag 0.0000 0.0000 0.5000
6 Ag 0.5000 0.5000 0.5000
7 N 0.0461 0.5461 0.5000
8 N 0.4539 0.0461 0.5000
9 N 0.5461 0.9539 0.5000
10 N 0.9539 0.4539 0.5000

Summary:
The space group is P4/mbm (127). As for the spin magnetization: 1.0 μB/f.u. The total energy comes out at -0.314 Ry/atom.

[5]
Density functional theory data (PBE) for a geometry-optimized Cs3AgN structure.

Unit cell a=6.7646 b=6.7646 c=6.7646 alpha=90.00 beta=90.00 gamma=90.00
Fractional positions:
1 Cs 0.0000 0.0000 0.5000
2 Cs 0.0000 0.5000 0.0000
3 Cs 0.5000 0.0000 0.0000
4 Ag 0.0000 0.0000 0.0000
5 N 0.5000 0.5000 0.5000

Summary:
The space group is Pm-3m (221). As for the spin magnetization: 0.0 μB/f.u. The total energy comes out at -0.123 Ry/atom.

[6]
Density functional theory data (PBE) for a geometry-optimized Cs2AgN structure.

Unit cell a=5.8296 b=5.8296 c=5.8296 alpha=60.00 beta=60.00 gamma=60.00
Fractional positions:
1 Cs 0.2500 0.2500 0.2500
2 Cs 0.7500 0.7500 0.7500
3 Ag 0.0000 0.0000 0.0000
4 N 0.5000 0.5000 0.5000

Summary:
The space group is Fm-3m (225). Its excess energy over the best structure of this formula in the dataset is 660 meV per atom. As for the spin magnetization: 0.0 μB/f.u. The total energy comes out at -0.160 Ry/atom.

[7]
Density functional theory data (PBE) for a geometry-optimized CsAg3N structure.

Unit cell a=4.8306 b=4.8306 c=4.8306 alpha=90.00 beta=90.00 gamma=90.00
Fractional positions:
1 Cs 0.0000 0.0000 0.0000
2 Ag 0.0000 0.5000 0.5000
3 Ag 0.5000 0.0000 0.5000
4 Ag 0.5000 0.5000 0.0000
5 N 0.5000 0.5000 0.5000

Summary:
The space group is Pm-3m (221). As for the spin magnetization: 0.0 μB/f.u. The total energy comes out at -0.210 Ry/atom.

[8]
Density functional theory data (PBE) for a geometry-optimized Cs2AgN structure.

Unit cell a=9.3476 b=9.3476 c=9.3476 alpha=92.72 beta=92.72 gamma=154.82
Fractional positions:
1 Cs 0.3750 0.1022 0.2272
2 Cs 0.8522 0.6250 0.7272
3 Cs 0.8750 0.1478 0.7728
4 Cs 0.8978 0.1250 0.2728
5 Ag 0.2500 0.7500 0.5000
6 Ag 0.5000 0.5000 0.0000
7 N 0.0000 0.0000 0.0000
8 N 0.7500 0.2500 0.5000

Summary:
The space group is I-42d (122). Its excess energy over the best structure of this formula in the dataset is 0 meV per atom. As for the spin magnetization: 0.6 μB/f.u. The total energy comes out at -0.208 Ry/atom.

[9]
Density functional theory data (PBE) for a geometry-optimized CsAgNO2 structure.

Unit cell a=4.5036 b=4.5036 c=4.4752 alpha=90.00 beta=90.00 gamma=90.00
Fractional positions:
1 Cs 0.0000 0.0000 0.0000
2 Ag 0.5000 0.5000 0.5000
3 N 0.0000 0.0000 0.5000
4 O 0.0000 0.5000 0.0000
5 O 0.5000 0.0000 0.0000

Summary:
The space group is P4/mmm (123). As for the spin magnetization: 1.3 μB/f.u. The total energy comes out at -0.205 Ry/atom.

[10]
Density functional theory data (PBE) for a geometry-optimized CsAgNO2 structure.

Unit cell a=4.4279 b=4.4279 c=4.3433 alpha=90.00 beta=90.00 gamma=90.00
Fractional positions:
1 Cs 0.0000 0.0000 0.0000
2 Ag 0.5000 0.5000 0.5000
3 N 0.5000 0.5000 0.0000
4 O 0.0000 0.5000 0.5000
5 O 0.5000 0.0000 0.5000

Summary:
The space group is P4/mmm (123). As for the spin magnetization: 3.2 μB/f.u. The total energy comes out at -0.276 Ry/atom.

[11]
Density functional theory data (PBE) for a geometry-optimized CsAg2OsN structure.

Unit cell a=5.2380 b=5.2380 c=6.0102 alpha=90.00 beta=90.00 gamma=90.00
Fractional positions:
1 Cs 0.0000 0.0000 0.0000
2 Ag 0.0000 0.5000 0.5000
3 Ag 0.5000 0.0000 0.5000
4 Os 0.0000 0.0000 0.5000
5 N 0.5000 0.5000 0.0000

Summary:
The space group is P4/mmm (123). As for the spin magnetization: 4.7 μB/f.u. The total energy comes out at -0.228 Ry/atom.

[12]
Density functional theory data (PBE) for a geometry-optimized Cs2AgRhN structure.

Unit cell a=6.7209 b=6.7209 c=3.7186 alpha=90.00 beta=90.00 gamma=90.00
Fractional positions:
1 Cs 0.0000 0.5000 0.0000
2 Cs 0.5000 0.0000 0.0000
3 Ag 0.0000 0.0000 0.5000
4 Rh 0.5000 0.5000 0.5000
5 N 0.5000 0.5000 0.0000

Summary:
The space group is P4/mmm (123). As for the spin magnetization: 0.0 μB/f.u. The total energy comes out at -0.284 Ry/atom.